Entry 1:
Tb5ZnNi2 | PBE | optimized geometry

```
data_Tb5ZnNi2
_cell_length_a 7.685
_cell_length_b 7.685
_cell_length_c 12.907
_cell_angle_alpha 90.00
_cell_angle_beta 90.00
_cell_angle_gamma 90.00
_symmetry_space_group_name_H-M 'I 4/m c m'
_symmetry_Int_Tables_number 140
_symmetry_space_group_name_Hall '-I 4 2c'
loop_
_atom_site_label
_atom_site_type_symbol
_atom_site_fract_x
_atom_site_fract_y
_atom_site_fract_z
Tb1 Tb 0.000 0.000 0.000
Tb2 Tb 0.162 0.338 0.138
Zn1 Zn 0.000 0.000 0.250
Ni1 Ni 0.124 0.376 0.500
```

***

Entry 2:
TbZn10Ni2 | PBE | optimized geometry

```
data_TbZn10Ni2
_cell_length_a 5.004
_cell_length_b 12.483
_cell_length_c 12.602
_cell_angle_alpha 90.00
_cell_angle_beta 90.00
_cell_angle_gamma 90.00
_symmetry_space_group_name_H-M 'F m m m'
_symmetry_Int_Tables_number 69
_symmetry_space_group_name_Hall '-F 2 2'
loop_
_atom_site_label
_atom_site_type_symbol
_atom_site_fract_x
_atom_site_fract_y
_atom_site_fract_z
Tb1 Tb 0.000 0.000 0.000
Zn1 Zn 0.000 0.113 0.395
Zn2 Zn 0.000 0.181 0.166
Zn3 Zn 0.250 0.000 0.250
Ni1 Ni 0.250 0.250 0.000
```

***

no.,DFT formation energy (meV per atom),M_tot (Bohr magnetons per cell)
1,-291,0.00
2,-231,0.00